1.
12
Lattice="4.645 0.000 0.000 0.000 5.805 0.000 0.000 0.000 9.955" Properties=species:S:1:pos:R:3 comment="BaTlAu10, optimized geometry, DFT PBE" e_form_ev_per_atom=-0.231 spacegroup="No. 47" pbc="T T T"
Ba 0.000 2.903 4.977
Tl 0.000 0.000 0.000
Au 0.000 0.000 3.119
Au 0.000 2.903 8.387
Au 0.000 2.903 1.568
Au 0.000 0.000 6.836
Au 2.323 0.000 4.977
Au 2.323 2.903 0.000
Au 2.323 1.491 2.553
Au 2.323 4.314 7.402
Au 2.323 4.314 2.553
Au 2.323 1.491 7.402

=====

2.
9
Lattice="4.686 0.000 0.000 0.000 4.686 0.000 0.000 0.000 12.354" Properties=species:S:1:pos:R:3 comment="BaTl6Au2, optimized geometry, DFT PBE" e_form_ev_per_atom=-0.208 spacegroup="No. 123" pbc="T T T"
Ba 0.000 0.000 0.000
Tl 0.000 2.343 3.411
Tl 2.343 0.000 3.411
Tl 0.000 2.343 8.943
Tl 2.343 0.000 8.943
Tl 2.343 2.343 6.177
Tl 0.000 0.000 6.177
Au 2.343 2.343 1.376
Au 2.343 2.343 10.978

=====

3.
3
Lattice="-1.027 -4.259 -3.294 -3.337 -4.015 1.671 -4.954 -0.572 -2.276" Properties=species:S:1:pos:R:3 comment="BaTlAu, optimized geometry, DFT PBE" e_form_ev_per_atom=-0.071 spacegroup="No. 216" pbc="T T T"
Tl 0.000 0.000 0.000
Au -4.659 -4.423 -1.949
Ba -6.988 -6.635 -2.924

=====

4.
14
Lattice="8.632 0.976 -4.556 -3.992 8.776 -1.807 -1.661 -0.964 9.657" Properties=species:S:1:pos:R:3 comment="Ba5TlAu, optimized geometry, DFT PBE" e_form_ev_per_atom=-0.228 polymorph_energy_mev_per_atom=48.6 spacegroup="No. 15" pbc="T T T"
Ba -2.691 5.528 7.305
Ba 0.265 6.067 3.387
Ba 0.434 2.250 2.970
Ba 6.095 0.567 -1.053
Ba 6.175 2.672 2.493
Ba -3.195 6.116 0.801
Ba -3.116 8.221 4.347
Ba 2.546 6.537 0.324
Ba 2.715 2.720 -0.093
Ba 5.671 3.259 -4.011
Tl 0.000 0.000 0.000
Tl -2.826 3.906 3.925
Au -0.220 4.461 0.326
Au 3.199 4.326 2.968

=====

5.
12
Lattice="-5.804 -4.110 3.350 0.694 -4.260 -8.073 7.871 -0.804 5.450" Properties=species:S:1:pos:R:3 comment="Ba4TlAu, optimized geometry, DFT PBE" e_form_ev_per_atom=-0.366 polymorph_energy_mev_per_atom=14.7 spacegroup="No. 15" pbc="T T T"
Ba 7.043 -1.785 2.948
Ba 0.955 -6.752 0.498
Ba 5.263 -4.986 0.841
Ba 3.672 -5.977 -2.925
Ba -0.911 -3.196 3.652
Ba -2.503 -4.188 -0.114
Ba 1.805 -2.421 0.229
Ba -4.282 -7.389 -2.221
Tl 0.333 -4.506 -2.364
Tl 2.427 -4.667 3.091
Au 7.097 -6.075 -1.795
Au -4.336 -3.098 2.522

=====

6.
6
Lattice="0.000 5.093 5.093 5.093 0.000 5.093 5.093 5.093 0.000" Properties=species:S:1:pos:R:3 comment="Ba4TlAu, optimized geometry, DFT PBE" e_form_ev_per_atom=0.321 polymorph_energy_mev_per_atom=701.3 spacegroup="No. 216" pbc="T T T"
Ba 3.818 6.367 6.367
Ba 6.367 6.367 3.818
Ba 6.367 3.818 6.367
Ba 3.818 3.818 3.818
Tl 7.639 7.639 7.639
Au 0.000 0.000 0.000

=====

7.
13
Lattice="-1.339 -5.274 -2.111 10.789 -3.777 2.591 -8.016 -0.445 6.198" Properties=species:S:1:pos:R:3 comment="Ba8Tl2Au3, optimized geometry, DFT PBE" e_form_ev_per_atom=-0.427 spacegroup="No. 65" pbc="T T T"
Ba 3.408 -7.740 1.038
Ba -1.974 -1.756 5.640
Ba -1.950 -5.821 -0.356
Ba 3.384 -3.675 7.034
Ba 0.115 -5.380 5.300
Ba -5.437 -3.436 3.965
Ba 6.871 -6.060 2.713
Ba 1.319 -4.116 1.378
Tl -2.006 -3.828 2.769
Tl 3.440 -5.668 3.909
Au -0.670 -2.637 -1.056
Au -5.218 -1.424 6.868
Au 7.991 -2.798 1.921

=====

8.
12
Lattice="-2.099 -3.755 3.825 -6.970 1.091 -7.086 9.159 -3.188 -2.436" Properties=species:S:1:pos:R:3 comment="Ba6TlAu5, optimized geometry, DFT PBE" e_form_ev_per_atom=-0.624 spacegroup="No. 71" pbc="T T T"
Tl 0.000 0.000 0.000
Au 5.546 -4.385 -1.263
Au 3.809 -1.769 -3.979
Au 0.045 -2.926 -2.849
Au -3.719 -4.084 -1.718
Au -5.456 -1.467 -4.434
Ba 2.765 -2.212 -0.653
Ba 2.810 -5.095 -3.463
Ba -1.027 -3.405 0.429
Ba 1.117 -2.447 -6.126
Ba -2.720 -0.757 -2.234
Ba -2.675 -3.640 -5.044